The following is a DFT calculation (PBEsol) of an optimized crystal structure of TiCo2AgRu.

abc: 4.2278 4.2278 4.4086
angles: 90.00 90.00 90.00
Sites, in units of the cell vectors:
Ag 0.5000 0.5000 0.5000
Ru 0.0000 0.0000 0.5000
Ti 0.0000 0.0000 0.0000
Co 0.0000 0.5000 0.0000
Co 0.5000 0.0000 0.0000

Results
Energy of formation   561 kJ/mol of formula units
Magnetization   2.5 μB per formula unit
DOS at the Fermi energy   1.39 states/eV/atom